Record 1
The following is a PBE calculation of a geometry-optimized LiInCo2 structure, from Alexandria via LeMat-Bulk.

Cell and atoms, written as CIF:
```
data_LiInCo2
_symmetry_space_group_name_H-M 'R -3 m'
_symmetry_Int_Tables_number 166
_symmetry_space_group_name_Hall '-R 3 2"'
_cell_length_a 2.8147
_cell_length_b 2.8147
_cell_length_c 25.7521
_cell_angle_alpha 90.00
_cell_angle_beta 90.00
_cell_angle_gamma 120.00
loop_
_atom_site_label
_atom_site_fract_x
_atom_site_fract_y
_atom_site_fract_z
Li1 0.0000 0.0000 0.0000
In1 0.0000 0.0000 0.5000
Co1 0.0000 0.0000 0.2510
```

The value obtained for the formation energy is 1.9 eV/f.u.

Record 2
The following is a PBE calculation of a geometry-optimized HfNb2As structure, from Alexandria via LeMat-Bulk.

Cell and atoms, written as CIF:
```
data_HfNb2As
_symmetry_space_group_name_H-M 'I -4 2 d'
_symmetry_Int_Tables_number 122
_symmetry_space_group_name_Hall 'I -4 2bw'
_cell_length_a 7.898
_cell_length_b 7.898
_cell_length_c 5.223
_cell_angle_alpha 90.00
_cell_angle_beta 90.00
_cell_angle_gamma 90.00
loop_
_atom_site_label
_atom_site_fract_x
_atom_site_fract_y
_atom_site_fract_z
Hf1 0.000 0.000 0.000
Nb1 0.190 0.250 0.625
As1 0.000 0.000 0.500
```

The value obtained for the formation energy is 0.5 eV/f.u.

Record 3
The following is a PBE calculation of a geometry-optimized Pr2MgIn2Pt5 structure, from Alexandria via LeMat-Bulk.

Cell and atoms, written as CIF:
```
data_Pr2MgIn2Pt5
_symmetry_space_group_name_H-M 'P 4/m b m'
_symmetry_Int_Tables_number 127
_symmetry_space_group_name_Hall '-P 4 2ab'
_cell_length_a 10.731
_cell_length_b 10.731
_cell_length_c 3.612
_cell_angle_alpha 90.00
_cell_angle_beta 90.00
_cell_angle_gamma 90.00
loop_
_atom_site_label
_atom_site_fract_x
_atom_site_fract_y
_atom_site_fract_z
Pr1 0.170 0.330 0.000
Mg1 0.000 0.000 0.000
In1 0.133 0.633 0.000
Pt1 0.000 0.500 0.500
Pt2 0.039 0.806 0.500
```

The value obtained for the formation energy is -6.4 eV/f.u.

Record 4
The following is a PBE calculation of a geometry-optimized La5Nd12Sm2 structure, from Alexandria via LeMat-Bulk.

Cell and atoms, written as CIF:
```
data_La5Nd12Sm2
_symmetry_space_group_name_H-M 'C 1 2/m 1'
_symmetry_Int_Tables_number 12
_symmetry_space_group_name_Hall '-C 2y'
_cell_length_a 13.313
_cell_length_b 11.874
_cell_length_c 9.646
_cell_angle_alpha 90.00
_cell_angle_beta 116.20
_cell_angle_gamma 90.00
loop_
_atom_site_label
_atom_site_fract_x
_atom_site_fract_y
_atom_site_fract_z
La1 0.000 0.000 0.000
La2 0.186 0.500 0.728
La3 0.194 0.000 0.829
Nd1 0.077 0.500 0.287
Nd2 0.105 0.277 0.919
Nd3 0.119 0.000 0.444
Nd4 0.195 0.248 0.308
Sm1 0.000 0.265 0.500
```

The value obtained for the formation energy is 2.0 eV/f.u. The distance to the lowest polymorph of the same formula comes out at 0 meV per atom.

Record 5
The following is a PBE calculation of a geometry-optimized Cs3Tb2US6 structure, from Alexandria via LeMat-Bulk.

Cell and atoms, written as CIF:
```
data_Cs3Tb2US6
_symmetry_space_group_name_H-M 'C 1 2/m 1'
_symmetry_Int_Tables_number 12
_symmetry_space_group_name_Hall '-C 2y'
_cell_length_a 7.156
_cell_length_b 12.396
_cell_length_c 8.430
_cell_angle_alpha 90.00
_cell_angle_beta 106.44
_cell_angle_gamma 90.00
loop_
_atom_site_label
_atom_site_fract_x
_atom_site_fract_y
_atom_site_fract_z
Cs1 0.000 0.000 0.000
Cs2 0.000 0.332 0.000
Tb1 0.000 0.167 0.500
U1 0.000 0.500 0.500
S1 0.227 0.000 0.683
S2 0.228 0.333 0.682
```

The calculation puts the formation energy (no corrections) at -19.8 eV per formula unit.

Record 6
The following is a PBE calculation of a geometry-optimized Ac6AlSi2I3 structure, from Alexandria via LeMat-Bulk.

Cell and atoms, written as CIF:
```
data_Ac6AlSi2I3
_symmetry_space_group_name_H-M 'C 1 2/m 1'
_symmetry_Int_Tables_number 12
_symmetry_space_group_name_Hall '-C 2y'
_cell_length_a 21.077
_cell_length_b 4.598
_cell_length_c 9.808
_cell_angle_alpha 90.00
_cell_angle_beta 106.43
_cell_angle_gamma 90.00
loop_
_atom_site_label
_atom_site_fract_x
_atom_site_fract_y
_atom_site_fract_z
Ac1 0.013 0.000 0.235
Ac2 0.159 0.500 0.116
Ac3 0.178 0.500 0.557
Al1 0.000 0.500 0.000
Si1 0.168 0.000 0.337
I1 0.000 0.500 0.500
I2 0.166 0.000 0.833
```

The calculation puts the formation energy (no corrections) at -9.6 eV per formula unit.

Record 7
The following is a PBE calculation of a geometry-optimized NdDy2HoEr structure, from Alexandria via LeMat-Bulk.

Cell and atoms, written as CIF:
```
data_NdDy2HoEr
_symmetry_space_group_name_H-M 'C m c m'
_symmetry_Int_Tables_number 63
_symmetry_space_group_name_Hall '-C 2c 2'
_cell_length_a 8.380
_cell_length_b 11.453
_cell_length_c 7.193
_cell_angle_alpha 90.00
_cell_angle_beta 90.00
_cell_angle_gamma 90.00
loop_
_atom_site_label
_atom_site_fract_x
_atom_site_fract_y
_atom_site_fract_z
Nd1 0.000 0.228 0.250
Dy1 0.191 0.000 0.000
Ho1 0.000 0.499 0.250
Er1 0.000 0.223 0.750
```

The value obtained for the formation energy is 1.9 eV/f.u.

Record 8
The following is a PBE calculation of a geometry-optimized Dy2AlCu7 structure, from Alexandria via LeMat-Bulk.

Cell and atoms, written as CIF:
```
data_Dy2AlCu7
_symmetry_space_group_name_H-M 'P -4 m 2'
_symmetry_Int_Tables_number 115
_symmetry_space_group_name_Hall 'P -4 -2'
_cell_length_a 3.814
_cell_length_b 3.814
_cell_length_c 11.184
_cell_angle_alpha 90.00
_cell_angle_beta 90.00
_cell_angle_gamma 90.00
loop_
_atom_site_label
_atom_site_fract_x
_atom_site_fract_y
_atom_site_fract_z
Dy1 0.000 0.500 0.245
Al1 0.000 0.000 0.500
Cu1 0.000 0.000 0.000
Cu2 0.000 0.500 0.645
Cu3 0.000 0.500 0.862
Cu4 0.500 0.500 0.000
Cu5 0.500 0.500 0.500
```

The value obtained for the formation energy is -2.0 eV/f.u.

Record 9
The following is a PBE calculation of a geometry-optimized MoSCl3 structure, from Alexandria via LeMat-Bulk.

Cell and atoms, written as CIF:
```
data_MoSCl3
_symmetry_space_group_name_H-M 'C m c m'
_symmetry_Int_Tables_number 63
_symmetry_space_group_name_Hall '-C 2c 2'
_cell_length_a 7.506
_cell_length_b 11.222
_cell_length_c 6.550
_cell_angle_alpha 90.00
_cell_angle_beta 90.00
_cell_angle_gamma 90.00
loop_
_atom_site_label
_atom_site_fract_x
_atom_site_fract_y
_atom_site_fract_z
Mo1 0.000 0.013 0.250
S1 0.000 0.201 0.250
Cl1 0.000 0.207 0.750
Cl2 0.243 0.000 0.000
```

The calculation puts the formation energy (no corrections) at -3.1 eV per formula unit. The distance to the lowest polymorph of the same formula comes out at 142 meV per atom.

Record 10
The following is a PBE calculation of a geometry-optimized HoCu3Pt4 structure, from Alexandria via LeMat-Bulk.

Cell and atoms, written as CIF:
```
data_HoCu3Pt4
_symmetry_space_group_name_H-M 'P m m a'
_symmetry_Int_Tables_number 51
_symmetry_space_group_name_Hall '-P 2a 2a'
_cell_length_a 8.972
_cell_length_b 5.837
_cell_length_c 4.783
_cell_angle_alpha 90.00
_cell_angle_beta 90.00
_cell_angle_gamma 90.00
loop_
_atom_site_label
_atom_site_fract_x
_atom_site_fract_y
_atom_site_fract_z
Ho1 0.000 0.000 0.000
Cu1 0.000 0.500 0.000
Cu2 0.250 0.000 0.409
Cu3 0.250 0.500 0.346
Pt1 0.000 0.261 0.500
Pt2 0.250 0.271 0.856
```

The value obtained for the formation energy is -3.5 eV/f.u.

Number 1: volume 177 Å³/cell. Number 2: volume 326 Å³/cell. Number 3: volume 416 Å³/cell. Number 4: volume 1368 Å³/cell. Number 5: volume 717 Å³/cell. Number 6: volume 912 Å³/cell. Number 7: volume 690 Å³/cell. Number 8: volume 163 Å³/cell. Number 9: volume 552 Å³/cell. Number 10: volume 251 Å³/cell.